First-principles (PBE with a Hubbard U) data for crystalline Rb2MoF7 at its relaxed geometry, as listed in Alexandria via LeMat-Bulk.

Geometry as extended XYZ:
```
20
Lattice="7.1451 -3.5735 0.0000 7.1451 3.5735 0.0000 -6.4654 0.0000 7.6015" Properties=species:S:1:pos:R:3 pbc="T T T"
Rb 0.9026 0.5044 2.0772
Rb -2.3301 -0.5044 5.8779
Rb 10.1548 0.5044 1.7236
Rb 6.9220 -0.5044 5.5244
Mo 5.5287 0.7936 1.9004
Mo 2.2960 -0.7936 5.7011
F 5.5287 2.7934 1.9004
F 3.5967 1.2887 1.7644
F -0.5749 1.1126 7.5873
F 1.4332 0.8175 4.9069
F 5.1668 1.1126 3.8150
F 7.4606 1.2887 2.0364
F 3.1588 0.8175 6.4954
F 4.6659 -0.8175 1.1062
F 0.3640 -1.2887 5.5651
F 2.6578 -1.1126 3.7866
F 6.3915 -0.8175 2.6946
F 8.3995 -1.1126 0.0142
F 4.2279 -1.2887 5.8372
F 2.2960 -2.7934 5.7011
```

Properties
Fermi-level density of states: 0.000 states/eV per atom
Calculated density: 3421 kg/m³
Uncorrected energy: -4.866 eV/atom
Energy above the lowest structure with this stoichiometry: 0 meV/atom